# 1
The following is a GGA-PBE calculation of crystalline TcMoH2 at its relaxed geometry, from Alexandria.

abc: 4.593 5.036 5.847
angles: 90.00 90.00 90.00
Fractional positions:
Mo  0.750  0.584  0.371
Mo  0.250  0.916  0.371
Mo  0.250  0.416  0.629
Mo  0.750  0.084  0.629
H  0.500  0.250  0.379
H  0.000  0.250  0.379
H  0.000  0.250  0.877
H  0.500  0.750  0.123
H  0.500  0.250  0.877
H  0.000  0.750  0.123
H  0.500  0.750  0.621
H  0.000  0.750  0.621
Tc  0.250  0.915  0.877
Tc  0.750  0.585  0.877
Tc  0.750  0.085  0.123
Tc  0.250  0.415  0.123

Results
Energy above the most stable polymorph in this dataset, eV per formula unit: 0.00

---

# 2
The following is a GGA-PBE calculation of crystalline NaGa2H at its relaxed geometry, from Alexandria.

abc: 4.815 4.815 7.913
angles: 72.29 72.29 90.00
Fractional positions:
H  0.250  0.750  0.500
H  0.500  0.500  0.000
Ga  0.875  0.558  0.750
Ga  0.375  0.692  0.750
Ga  0.442  0.625  0.250
Ga  0.308  0.125  0.250
Na  0.000  0.000  0.000
Na  0.750  0.250  0.500

Results
Energy above the most stable polymorph in this dataset, eV per formula unit: 0.00

---

# 3
The following is a GGA-PBE calculation of crystalline Th2Co4As3Ir at its relaxed geometry, from Alexandria.

abc: 4.143 4.143 9.685
angles: 90.00 90.00 90.00
Fractional positions:
Th  0.500  0.000  0.241
Th  0.000  0.500  0.759
Co  0.500  0.000  0.626
Co  0.000  0.000  0.000
Co  0.000  0.500  0.374
Co  0.500  0.500  0.000
Ir  0.500  0.500  0.500
As  0.500  0.000  0.871
As  0.000  0.500  0.129
As  0.000  0.000  0.500

Results
Formation enthalpy at 0 K, kJ per mole of atoms: -63

---

# 4
The following is a GGA-PBE calculation of crystalline TbGdMgHg at its relaxed geometry, from Alexandria.

abc: 5.322 5.322 5.322
angles: 60.00 60.00 60.00
Fractional positions:
Mg  0.500  0.500  0.500
Hg  0.000  0.000  0.000
Gd  0.250  0.250  0.250
Tb  0.750  0.750  0.750

Results
Formation enthalpy at 0 K, kJ per mole of atoms: -27

---

# 5
The following is a GGA-PBE calculation of crystalline YTm2Ag3S6 at its relaxed geometry, from Alexandria.

abc: 4.000 9.626 8.005
angles: 106.61 104.47 90.00
Fractional positions:
S  0.657  0.517  0.314
S  0.316  0.852  0.632
S  0.010  0.809  0.020
S  0.343  0.483  0.686
S  0.684  0.148  0.368
S  0.990  0.191  0.980
Ag  0.824  0.067  0.648
Ag  0.176  0.933  0.352
Ag  0.500  0.500  0.000
Tm  0.166  0.335  0.333
Tm  0.834  0.665  0.667
Y  0.500  0.000  0.000

---

# 6
The following is a GGA-PBE calculation of crystalline FeCuAs2 at its relaxed geometry, from Alexandria.

abc: 4.449 4.449 4.449
angles: 60.00 60.00 60.00
Fractional positions:
As  0.250  0.250  0.250
As  0.000  0.000  0.000
Fe  0.750  0.750  0.750
Cu  0.500  0.500  0.500

Results
Energy above the most stable polymorph in this dataset, eV per formula unit: 1.69
Formation enthalpy at 0 K, kJ per mole of atoms: 48

---

# 7
The following is a GGA-PBE calculation of crystalline AlBiAs3 at its relaxed geometry, from Alexandria.

abc: 5.462 5.462 5.462
angles: 90.00 90.00 90.00
Fractional positions:
Bi  0.000  0.000  0.000
Al  0.500  0.500  0.500
As  0.500  0.000  0.000
As  0.000  0.000  0.500
As  0.000  0.500  0.000

Results
Energy above the most stable polymorph in this dataset, eV per formula unit: 3.74
Formation enthalpy at 0 K, kJ per mole of atoms: 109

---

# 8
The following is a GGA-PBE calculation of crystalline Cs2Na2ThSe4 at its relaxed geometry, from Alexandria.

abc: 4.564 8.535 8.752
angles: 109.77 105.11 90.00
Fractional positions:
Th  0.000  0.000  0.000
Cs  0.137  0.558  0.275
Cs  0.863  0.442  0.725
Se  0.493  0.223  0.985
Se  0.185  0.169  0.369
Se  0.815  0.831  0.631
Se  0.507  0.777  0.015
Na  0.320  0.024  0.640
Na  0.680  0.976  0.360

---

Total DFT energy (no corrections), record by record: -7.064; -2.452; -7.259; -5.434; -5.367; -4.968; -3.182; -4.238 eV/atom